1.
Entry from Alexandria via LeMat-Bulk: a relaxed structure of VFeTe2 (PBE-GGA).

## Properties
density of states at the Fermi level: 6.06 states/eV/f.u.
symmetry: No. 166
total DFT energy (no corrections): -5.5113 eV per atom
V: 23.39 Å³ per atom
magnetic moment: 4.4 Bohr magnetons per cell

Cell and atoms, written as POSCAR:
```
VFeTe2
1.0
1.990 8.422 0.057
2.055 7.621 3.550
4.924 6.957 1.505
Te Fe V
2 1 1
Direct
0.893 0.893 0.893
0.107 0.107 0.107
0.500 0.500 0.500
0.000 0.000 0.000
```

***

2.
Entry from Alexandria via LeMat-Bulk: a relaxed structure of Sr3TcSb (PBE-GGA).

## Properties
density of states at the Fermi level: 3.79 states/eV/f.u.
symmetry: No. 221
polymorph energy (0 for the lowest one): 0.0000 eV/atom
total DFT energy (no corrections): -3.6154 eV per atom
V: 33.78 Å³ per atom
magnetic moment: 0.0 Bohr magnetons per cell

Cell and atoms, written as POSCAR:
```
Sr3TcSb
1.0
-2.380 -0.073 -4.989
4.297 -2.840 -2.008
-2.536 -4.742 1.280
Sb Tc Sr
1 1 3
Direct
0.500 0.500 0.500
0.000 0.000 0.000
0.000 0.500 0.000
0.000 0.000 0.500
0.500 0.000 0.000
```

***

3.
Entry from Alexandria via LeMat-Bulk: a relaxed structure of Cs4Pm3ThTe8 (PBE-GGA).

## Properties
density of states at the Fermi level: 5.12 states/eV/f.u.
symmetry: No. 166
total DFT energy (no corrections): -4.4927 eV per atom
V: 41.52 Å³ per atom
magnetic moment: 0.0 Bohr magnetons per cell

Cell and atoms, written as POSCAR:
```
Cs4Pm3ThTe8
1.0
9.236 0.000 0.000
0.000 10.420 0.841
-4.618 -4.621 6.529
Cs Pm Th Te
4 3 1 8
Direct
0.500 0.000 0.000
0.500 0.000 0.500
0.000 0.000 0.000
0.000 0.000 0.500
0.500 0.500 0.000
0.500 0.500 0.500
0.000 0.500 0.500
0.000 0.500 0.000
0.230 0.696 0.965
0.230 0.696 0.461
0.268 0.305 0.536
0.735 0.696 0.965
0.265 0.304 0.035
0.732 0.695 0.464
0.770 0.304 0.539
0.770 0.304 0.035
```